Entry 1:
KAsCl2 | GGA-PBE | relaxed

Cell: 8.9719 3.5952 6.8425 Å, 90.00 90.13 90.00°
With the nearest neighbours (Å) after each atom.
Space group C2/m (No. 12)
Asymmetric unit:
K 0.0000 0.0000 0.0000 (multiplicity 2)  6 Cl 3.14-3.19
As 0.0000 0.5000 0.5000 (multiplicity 2)  2 Cl 2.45
Cl 0.2050 0.5000 0.7378 (multiplicity 4)  1 As 2.45

Results
For the formation energy (no corrections), the calculation gives -71 kJ per mole of atoms. The density of states at the Fermi level comes out at 1.970 states/eV/f.u. The value obtained for the total magnetization is 0.01 μB per formula unit. The calculation puts the distance to the lowest polymorph of the same formula at 36.8 kJ/mol of formula units. The calculation puts the calculated total energy at -3.091 eV/atom.

Entry 2:
Li2UBiS4 | GGA-PBE | relaxed

Cell: 6.6650 3.9439 6.9431 Å, 90.00 110.42 90.00°
With the nearest neighbours (Å) after each atom.
Space group P2/m (No. 10)
Asymmetric unit:
Li 0.0000 0.0000 0.0000 (multiplicity 1)  6 S 2.76-2.82
Li 0.0000 0.5000 0.5000 (multiplicity 1)  6 S 2.70-2.73
U 0.5000 0.0000 0.5000 (multiplicity 1)  6 S 2.78
Bi 0.5000 0.5000 0.0000 (multiplicity 1)  6 S 2.84-2.85
S 0.2387 0.0000 0.7357 (multiplicity 2)  3 Li 2.70-2.82, 1 U 2.78, 2 Bi 2.84
S 0.2430 0.5000 0.2538 (multiplicity 2)  3 Li 2.73-2.76, 2 U 2.78, 1 Bi 2.85

Results
For the formation energy (no corrections), the calculation gives -98 kJ per mole of atoms. The density of states at the Fermi level comes out at 5.593 states/eV/f.u. The value obtained for the total magnetization is 2.96 μB per formula unit. The calculation puts the calculated total energy at -5.451 eV/atom.

Entry 3:
RbTaS2Cl | GGA-PBE | relaxed

Cell: 5.4080 5.4080 5.3855 Å, 90.00 90.00 90.00°
With the nearest neighbours (Å) after each atom.
Space group P4/mmm (No. 123)
Asymmetric unit:
Rb 0.0000 0.0000 0.0000 (multiplicity 1)  2 Cl 2.69, 4 S 2.70
Ta 0.5000 0.5000 0.5000 (multiplicity 1)  8 S 3.82, 4 Cl 3.82
S 0.0000 0.5000 0.0000 (multiplicity 2)  2 Rb 2.70
Cl 0.0000 0.0000 0.5000 (multiplicity 1)  2 Rb 2.69

Results
For the formation energy (no corrections), the calculation gives 165 kJ per mole of atoms. The density of states at the Fermi level comes out at 5.318 states/eV/f.u. The value obtained for the total magnetization is 0.98 μB per formula unit. The calculation puts the distance to the lowest polymorph of the same formula at 1344.7 kJ/mol of formula units. The calculation puts the calculated total energy at -2.869 eV/atom.

Entry 4:
PrY2Ho4Sc | GGA-PBE | relaxed

Cell: 13.4689 13.0870 6.7483 Å, 90.00 120.04 90.00°
With the nearest neighbours (Å) after each atom.
Space group C2/c (No. 15)
Asymmetric unit:
Pr 0.2500 0.2500 0.0000 (multiplicity 4)  6 Ho 3.26-3.37, 2 Y 3.37
Y 0.0000 0.0000 0.0000 (multiplicity 4)  2 Y 3.37, 6 Ho 3.42-3.52
Y 0.2500 0.2500 0.5000 (multiplicity 4)  6 Ho 3.29-3.38, 2 Pr 3.37
Ho 0.0000 0.2614 0.5012 (multiplicity 8)  1 Sc 3.12, 2 Ho 3.36-3.39, 2 Pr 3.37, 3 Y 3.37-3.42
Ho 0.2359 0.4990 0.9841 (multiplicity 8)  2 Sc 3.22-3.23, 1 Pr 3.26, 3 Y 3.29-3.52, 2 Ho 3.37
Sc 0.0000 0.5000 0.0000 (multiplicity 4)  6 Ho 3.12-3.23, 2 Sc 3.37

Results
As for the energy of formation from the pure elements: 42.0 kJ per mole of atoms. The density of states at the Fermi level comes out at 17.744 states/eV/f.u. The value obtained for the total magnetization is 2.43 μB per formula unit. The calculation puts the calculated total energy at -4.859 eV/atom.

Entry 5:
AcCeAl | GGA-PBE | relaxed

Cell: 3.9313 3.9313 12.0116 Å, 90.00 90.00 90.00°
With the nearest neighbours (Å) after each atom.
Space group I4mm (No. 107)
Asymmetric unit:
Ac 0.0000 0.0000 0.0000 (multiplicity 2)  4 Al 3.39, 5 Ce 3.48-3.75
Ce 0.0000 0.0000 0.2900 (multiplicity 2)  4 Al 3.18, 1 Ac 3.48
Al 0.0000 0.0000 0.6615 (multiplicity 2)  4 Ce 3.18, 4 Ac 3.39

Results
As for the energy of formation from the pure elements: -6.7 kJ per mole of atoms. The density of states at the Fermi level comes out at 6.999 states/eV/f.u. The value obtained for the total magnetization is 1.29 μB per formula unit. The calculation puts the distance to the lowest polymorph of the same formula at 0.0 kJ/mol of formula units. The calculation puts the calculated total energy at -4.664 eV/atom.

Entry 6:
K4NdTh3S8 | GGA-PBE | relaxed

Cell: 8.2450 8.2450 22.4658 Å, 90.00 90.00 120.00°
With the nearest neighbours (Å) after each atom.
Space group R-3m (No. 166, hexagonal axes)
Asymmetric unit:
K 0.0000 0.0000 0.0000 (multiplicity 3)  6 S 3.18
K 0.0000 0.5000 0.0000 (multiplicity 9)  6 S 3.21-3.22
Nd 0.0000 0.0000 0.5000 (multiplicity 3)  6 S 2.90
Th 0.0000 0.5000 0.5000 (multiplicity 9)  6 S 2.85-2.86
S 0.0000 0.0000 0.2376 (multiplicity 6)  3 Th 2.86, 3 K 3.21
S 0.0053 0.5026 0.7624 (multiplicity 18)  2 Th 2.85, 1 Nd 2.90, 1 K 3.18

Results
For the formation energy (no corrections), the calculation gives -166 kJ per mole of atoms. The density of states at the Fermi level comes out at 10.430 states/eV/f.u. The value obtained for the total magnetization is 0.00 μB per formula unit. The calculation puts the calculated total energy at -5.747 eV/atom.

Entry 7:
UPd2Au4 | GGA-PBE | relaxed

Cell: 11.4456 11.4753 8.5584 Å, 90.00 90.00 90.00°
With the nearest neighbours (Å) after each atom.
Space group Fdd2 (No. 43)
Asymmetric unit:
U 0.0000 0.0000 0.0000 (multiplicity 8)  8 Au 2.97-3.14
Pd 0.0386 0.2886 0.8751 (multiplicity 16)  8 Au 2.72-3.00
Au 0.0351 0.3833 0.1722 (multiplicity 16)  4 Pd 2.72-2.99, 2 Au 2.80-2.85, 1 U 2.97
Au 0.1169 0.0354 0.3279 (multiplicity 16)  4 Pd 2.72-3.00, 2 Au 2.80-2.85, 1 U 2.97

Results
As for the energy of formation from the pure elements: -3.0 kJ per mole of atoms. The density of states at the Fermi level comes out at 9.584 states/eV/f.u. The value obtained for the total magnetization is 2.49 μB per formula unit. The calculation puts the calculated total energy at -5.000 eV/atom.

Question: Number 5 is which compound?
Answer: AcCeAl

Question: What is the calculated total energy in the seventh record?
Answer: -5.000 eV/atom

Question: calculated total energy of number 4 (PrY2Ho4Sc)?
Answer: -4.859 eV/atom

Question: Which value of calculated total energy does entry 6 give?
Answer: -5.747 eV/atom